(1)
The following is a PBE calculation of crystalline TlCuRe4 at its relaxed geometry, from Alexandria.

a = 5.2608 Å, b = 5.2608 Å, c = 5.2608 Å
α = 60.00°, β = 60.00°, γ = 60.00°
Fractional positions:
Tl1 0.0000 0.0000 0.0000
Cu1 0.7500 0.7500 0.7500
Re1 0.3757 0.3757 0.3757
Re2 0.3757 0.3757 0.8728
Re3 0.3757 0.8728 0.3757
Re4 0.8728 0.3757 0.3757

## Properties
DFT formation energy (eV per atom): 0.865
Crystal system: cubic
Spin magnetization (μB/f.u.): 0.00
VASP energy (eV per atom): -8.511
SG: F-43m (216)



(2)
The following is a PBE calculation of crystalline Tl2CuRe at its relaxed geometry, from Alexandria.

a = 3.0843 Å, b = 5.4111 Å, c = 9.2945 Å
α = 90.00°, β = 90.00°, γ = 90.00°
Fractional positions:
Tl1 0.0000 0.0000 0.2424
Tl2 0.0000 0.0000 0.7576
Tl3 0.5000 0.5000 0.2424
Tl4 0.5000 0.5000 0.7576
Cu1 0.0000 0.5000 0.0000
Cu2 0.5000 0.0000 0.0000
Re1 0.0000 0.5000 0.5000
Re2 0.5000 0.0000 0.5000

## Properties
DFT formation energy (eV per atom): 0.881
Crystal system: orthorhombic
Spin magnetization (μB/f.u.): 0.00
VASP energy (eV per atom): -4.438
Energy above the most stable polymorph in this dataset (meV/atom): 182.4
SG: Cmmm (65)



(3)
The following is a PBE calculation of crystalline TlCu2Re at its relaxed geometry, from Alexandria.

a = 4.0801 Å, b = 4.0801 Å, c = 3.6677 Å
α = 90.00°, β = 90.00°, γ = 90.00°
Fractional positions:
Tl1 0.0000 0.0000 0.0000
Cu1 0.0000 0.5000 0.5000
Cu2 0.5000 0.0000 0.5000
Re1 0.5000 0.5000 0.0000

## Properties
DFT formation energy (eV per atom): 0.641
Crystal system: tetragonal
Spin magnetization (μB/f.u.): 0.00
VASP energy (eV per atom): -5.111
Energy above the most stable polymorph in this dataset (meV/atom): 103.2
SG: P4/mmm (123)



(4)
The following is a PBE calculation of crystalline Tl2CuRe at its relaxed geometry, from Alexandria.

a = 11.2699 Å, b = 2.8987 Å, c = 4.9731 Å
α = 90.00°, β = 104.84°, γ = 90.00°
Fractional positions:
Tl1 0.0000 0.0000 0.0000
Tl2 0.2158 0.0000 0.6380
Tl3 0.5000 0.5000 0.0000
Tl4 0.7158 0.5000 0.6380
Cu1 0.2826 0.5000 0.1766
Cu2 0.7826 0.0000 0.1766
Re1 0.4608 0.0000 0.4811
Re2 0.9608 0.5000 0.4811

## Properties
DFT formation energy (eV per atom): 0.771
Crystal system: monoclinic
Spin magnetization (μB/f.u.): 0.00
VASP energy (eV per atom): -4.548
Energy above the most stable polymorph in this dataset (meV/atom): 72.1
SG: Cm (8)



(5)
The following is a PBE calculation of crystalline Tl2CuRe at its relaxed geometry, from Alexandria.

a = 4.6921 Å, b = 4.6921 Å, c = 3.3906 Å
α = 90.00°, β = 90.00°, γ = 90.00°
Fractional positions:
Tl1 0.0000 0.5000 0.0000
Tl2 0.5000 0.0000 0.0000
Cu1 0.0000 0.0000 0.5000
Re1 0.5000 0.5000 0.5000

## Properties
DFT formation energy (eV per atom): 0.894
Crystal system: tetragonal
Spin magnetization (μB/f.u.): 0.00
VASP energy (eV per atom): -4.425
Energy above the most stable polymorph in this dataset (meV/atom): 195.2
SG: P4/mmm (123)



(6)
The following is a PBE calculation of crystalline TlCu2Re at its relaxed geometry, from Alexandria.

a = 9.2069 Å, b = 2.8146 Å, c = 5.0751 Å
α = 90.00°, β = 99.29°, γ = 90.00°
Fractional positions:
Tl1 0.0000 0.0000 0.0000
Tl2 0.5000 0.5000 0.0000
Cu1 0.2396 0.0000 0.6989
Cu2 0.2604 0.5000 0.3011
Cu3 0.7396 0.5000 0.6989
Cu4 0.7604 0.0000 0.3011
Re1 0.0000 0.5000 0.5000
Re2 0.5000 0.0000 0.5000

## Properties
DFT formation energy (eV per atom): 0.655
Crystal system: monoclinic
Spin magnetization (μB/f.u.): 0.00
VASP energy (eV per atom): -5.096
Energy above the most stable polymorph in this dataset (meV/atom): 117.3
SG: C2/m (12)



(7)
The following is a PBE calculation of crystalline TlCu2Re at its relaxed geometry, from Alexandria.

a = 2.8419 Å, b = 4.8033 Å, c = 9.5506 Å
α = 90.00°, β = 90.00°, γ = 90.00°
Fractional positions:
Tl1 0.0000 0.0000 0.0000
Tl2 0.5000 0.5000 0.5000
Cu1 0.0000 0.5000 0.2338
Cu2 0.0000 0.5000 0.7662
Cu3 0.5000 0.0000 0.2662
Cu4 0.5000 0.0000 0.7338
Re1 0.0000 0.0000 0.5000
Re2 0.5000 0.5000 0.0000

## Properties
DFT formation energy (eV per atom): 0.724
Crystal system: orthorhombic
Spin magnetization (μB/f.u.): 0.00
VASP energy (eV per atom): -5.028
Energy above the most stable polymorph in this dataset (meV/atom): 186.0
SG: Immm (71)



(8)
The following is a PBE calculation of crystalline TlCu2Re at its relaxed geometry, from Alexandria.

a = 4.0889 Å, b = 4.0889 Å, c = 7.4730 Å
α = 90.00°, β = 90.00°, γ = 90.00°
Fractional positions:
Tl1 0.0000 0.0000 0.0000
Tl2 0.5000 0.5000 0.5000
Cu1 0.0000 0.5000 0.2500
Cu2 0.0000 0.5000 0.7500
Cu3 0.5000 0.0000 0.2500
Cu4 0.5000 0.0000 0.7500
Re1 0.0000 0.0000 0.5000
Re2 0.5000 0.5000 0.0000

## Properties
DFT formation energy (eV per atom): 0.820
Crystal system: tetragonal
Spin magnetization (μB/f.u.): 1.36
VASP energy (eV per atom): -4.931
Energy above the most stable polymorph in this dataset (meV/atom): 282.6
SG: I4/mmm (139)



Q: What is the DFT formation energy in the third record?
A: 0.641 eV per atom